Record 1
A geometry-optimized YAgP2O6 structure. Source: Alexandria, functional PBE.

a = 6.7920 Å, b = 6.7920 Å, c = 7.8458 Å
α = 106.53°, β = 106.53°, γ = 100.46°
With the nearest neighbours (Å) after each atom.
Sites, in units of the cell vectors:
Y (0.0614, 0.9386, 0.7500)  4 O 2.26-2.32
Y (0.9386, 0.0614, 0.2500)  4 O 2.26-2.32
Ag (0.3444, 0.6556, 0.2500)  2 P 2.39, 2 O 2.61
Ag (0.6556, 0.3444, 0.7500)  2 P 2.39, 2 O 2.61
P (0.0129, 0.3784, 0.7506)  3 O 1.52-1.54
P (0.3784, 0.0129, 0.2506)  3 O 1.52-1.54
P (0.6216, 0.9871, 0.7494)  3 O 1.52-1.54
P (0.9871, 0.6216, 0.2494)  3 O 1.52-1.54
O (0.0006, 0.1963, 0.5740)  1 P 1.54
O (0.0467, 0.6003, 0.7382)  1 P 1.52
O (0.1648, 0.3437, 0.9200)  1 P 1.54
O (0.1963, 0.0006, 0.0740)  1 P 1.54
O (0.3437, 0.1648, 0.4200)  1 P 1.54
O (0.3997, 0.9533, 0.7618)  1 P 1.52
O (0.6003, 0.0467, 0.2382)  1 P 1.52
O (0.6563, 0.8352, 0.5800)  1 P 1.54
O (0.8037, 0.9994, 0.9260)  1 P 1.54
O (0.8352, 0.6563, 0.0800)  1 P 1.54
O (0.9533, 0.3997, 0.2618)  1 P 1.52
O (0.9994, 0.8037, 0.4260)  1 P 1.54

space-group type = C2/c, No. 15
energy relative to the elements, uncorrected = -2.091 eV/atom



Record 2
A geometry-optimized YAgP2O structure. Source: Alexandria, functional PBE.

a = 5.4440 Å, b = 5.4440 Å, c = 4.1994 Å
α = 90.00°, β = 90.00°, γ = 90.00°
With the nearest neighbours (Å) after each atom.
Sites, in units of the cell vectors:
Y (0.0000, 0.0000, 0.0000)  2 O 2.10
Ag (0.5000, 0.5000, 0.5000)  8 P 3.44, 4 O 3.85
P (0.0000, 0.5000, 0.0000)  2 Y 2.72
P (0.5000, 0.0000, 0.0000)  2 Y 2.72
O (0.0000, 0.0000, 0.5000)  2 Y 2.10

space-group type = P4/mmm, No. 123
energy relative to the elements, uncorrected = 0.073 eV/atom
distance to the lowest polymorph of the same formula = 0.45 eV/f.u.



Number 1: magnetization 0.0 Bohr magnetons per cell. Number 2: magnetization 1.5 Bohr magnetons per cell.